{"formula": "Li4InAu", "functional": "PBE", "state": "relaxed", "vol_a3_per_fu": 94.5, "formation_energy_ev_per_fu": -1.25, "lattice": [[0.000, 3.615, 3.615], [3.615, 0.000, 3.615], [3.615, 3.615, 0.000]], "species": ["Li", "Li", "Li", "Li", "In", "Au"], "frac_coords": [[0.872, 0.376, 0.376], [0.376, 0.376, 0.872], [0.376, 0.872, 0.376], [0.376, 0.376, 0.376], [0.000, 0.000, 0.000], [0.750, 0.750, 0.750]]}